Sr2GePb2 | PBE-GGA | relaxed

Unit cell a=8.331 b=8.331 c=5.102 alpha=90.00 beta=90.00 gamma=90.00
Fractional coordinates of all 10 atoms:
Sr1 0.165 0.335 0.000
Pb1 0.361 0.139 0.500
Pb2 0.861 0.361 0.500
Sr2 0.335 0.835 0.000
Ge1 0.500 0.500 0.000
Sr3 0.665 0.165 0.000
Ge2 0.000 0.000 0.000
Pb3 0.139 0.639 0.500
Sr4 0.835 0.665 0.000
Pb4 0.639 0.861 0.500

Calculated values
V ... 354 Å³/cell
Excess energy over the best structure of this formula in the dataset ... 238.8 meV per atom
Calculated formation energy ... -124 meV/atom
Magnetization ... 0.000 μB per atom

ReMoW | PBE-GGA | relaxed

Unit cell a=4.290 b=4.290 c=4.290 alpha=60.00 beta=60.00 gamma=60.00
Fractional coordinates of all 3 atoms:
W1 0.000 0.000 0.000
Re1 0.750 0.750 0.750
Mo1 0.500 0.500 0.500

Calculated values
V ... 56 Å³/cell
Excess energy over the best structure of this formula in the dataset ... 693.0 meV per atom
Calculated formation energy ... 746 meV/atom
Magnetization ... 0.000 μB per atom

Pm5Pr4Nd | PBE-GGA | relaxed

Unit cell a=5.967 b=10.855 c=10.856 alpha=90.00 beta=90.00 gamma=90.00
Fractional coordinates of all 20 atoms:
Pm1 0.833 0.337 0.337
Pm2 0.000 0.500 0.000
Pr1 0.367 0.500 0.795
Pm3 0.833 0.663 0.337
Pr2 0.367 0.205 0.500
Pr3 0.367 0.500 0.205
Pm4 0.167 0.163 0.163
Pm5 0.833 0.663 0.663
Pm6 0.833 0.337 0.663
Pm7 0.167 0.163 0.837
Pm8 0.000 0.000 0.500
Pr4 0.633 0.295 0.000
Nd1 0.630 0.000 0.000
Pm9 0.167 0.837 0.163
Pr5 0.367 0.795 0.500
Nd2 0.370 0.500 0.500
Pr6 0.633 0.000 0.295
Pm10 0.167 0.837 0.837
Pr7 0.633 0.705 0.000
Pr8 0.633 0.000 0.705

Calculated values
V ... 703 Å³/cell
Calculated formation energy ... 168 meV/atom
Magnetization ... 0.000 μB per atom

Question: What is the formula in the second record?
Answer: ReMoW

Question: calculated formation energy of number 1 (Sr2GePb2)?
Answer: -124 meV/atom